Density functional theory data (PBE+U) for crystalline SiW2F at its relaxed geometry.

Values from the calculation:
Electronic total energy = -0.181 Ha/atom
Calculated density = 12.12 g/cm³

Unit cell a=4.3150 b=4.3150 c=4.3150 alpha=60.00 beta=60.00 gamma=60.00
Site moments in Bohr magnetons follow the coordinates.
Fractional positions:
W 0.2500 0.2500 0.2500  0.49
F 0.0000 0.0000 0.0000  -0.02
Si 0.5000 0.5000 0.5000  -0.04
W 0.7500 0.7500 0.7500  0.49